[1]
Density functional theory data (PBE) for a geometry-optimized RbYCuS2 structure.

* ρ: 3.59 g cm⁻³
* D(E_F): 5.70 states/eV/cell
* SG: P2/c (13)
* formation energy without anion corrections: -1.100 eV/atom

a = 4.6981 Å, b = 7.6979 Å, c = 7.8574 Å
α = 100.21°, β = 90.00°, γ = 90.00°
Positions (direct):
Cu (0.0000, 0.0000, 0.0000)
Y (0.5067, 0.0000, 0.7500)
Cu (0.0000, 0.0000, 0.5000)
S (0.6846, 0.2199, 0.5362)
S (0.3154, 0.7801, 0.4638)
S (0.3154, 0.2199, 0.0362)
S (0.6846, 0.7801, 0.9638)
Rb (0.1743, 0.5000, 0.7500)
Y (0.4933, 0.0000, 0.2500)
Rb (0.8257, 0.5000, 0.2500)

[2]
Density functional theory data (PBE) for a geometry-optimized Rb2ZrCu2S4 structure.

* ρ: 4.27 g cm⁻³
* D(E_F): 0.64 states/eV/cell
* SG: C2/m (12)
* formation energy without anion corrections: -1.068 eV/atom

a = 3.8552 Å, b = 7.7868 Å, c = 7.3123 Å
α = 107.45°, β = 105.28°, γ = 90.00°
Positions (direct):
S (0.1929, 0.1656, 0.3858)
Rb (0.8629, 0.4375, 0.7259)
S (0.4821, 0.2186, 0.9642)
Cu (0.3230, 0.0139, 0.6460)
Zr (0.0000, 0.0000, 0.0000)
Cu (0.6770, 0.9861, 0.3540)
S (0.5179, 0.7814, 0.0358)
Rb (0.1371, 0.5625, 0.2741)
S (0.8071, 0.8344, 0.6142)

[3]
Density functional theory data (PBE) for a geometry-optimized Rb2Zr2CuS6 structure.

* ρ: 3.52 g cm⁻³
* D(E_F): 3.87 states/eV/cell
* SG: C2/m (12)
* formation energy without anion corrections: -1.181 eV/atom

a = 6.5420 Å, b = 6.5420 Å, c = 8.1598 Å
α = 97.35°, β = 97.35°, γ = 121.48°
Each line ends with the local moment (μB).
Positions (direct):
S (0.4069, 0.0649, 0.6866)  0.05
S (0.2556, 0.2556, 0.3343)  0.10
Zr (0.6695, 0.3305, 0.5000)  0.01
Cu (0.0000, 0.0000, 0.5000)  0.39
Zr (0.3305, 0.6695, 0.5000)  0.01
S (0.7444, 0.7444, 0.6657)  0.10
S (0.0649, 0.4069, 0.6866)  0.05
S (0.5931, 0.9351, 0.3134)  0.05
Rb (0.8402, 0.1598, 0.0000)  0.00
Rb (0.1598, 0.8402, 0.0000)  0.00
S (0.9351, 0.5931, 0.3134)  0.05

[4]
Density functional theory data (PBE) for a geometry-optimized RbZrCu2S4 structure.

* ρ: 3.29 g cm⁻³
* D(E_F): 5.17 states/eV/cell
* SG: I222 (23)
* formation energy without anion corrections: -0.781 eV/atom

a = 6.1091 Å, b = 6.7236 Å, c = 6.7236 Å
α = 73.84°, β = 62.98°, γ = 62.98°
Positions (direct):
Cu (0.1373, 0.3627, 0.3627)
Rb (0.0000, 0.0000, 0.0000)
S (0.4298, 0.1671, 0.5121)
Cu (0.8627, 0.6373, 0.6373)
S (0.5702, 0.4879, 0.8329)
Zr (0.5000, 0.5000, 0.5000)
S (0.1091, 0.8329, 0.4879)
S (0.8909, 0.5121, 0.1671)

[5]
Density functional theory data (PBE) for a geometry-optimized RbZr2Cu2S6 structure.

* ρ: 3.52 g cm⁻³
* D(E_F): 4.46 states/eV/cell
* SG: P-1 (2)
* formation energy without anion corrections: -1.000 eV/atom

a = 6.9812 Å, b = 7.5173 Å, c = 7.4067 Å
α = 121.81°, β = 86.81°, γ = 64.39°
Positions (direct):
S (0.9738, 0.4310, 0.1586)
Zr (0.1808, 0.6649, 0.1547)
Cu (0.7859, 0.2762, 0.2140)
S (0.1310, 0.8562, 0.5833)
S (0.4417, 0.7367, 0.9853)
Zr (0.8192, 0.3351, 0.8453)
S (0.8690, 0.1438, 0.4167)
Cu (0.2141, 0.7238, 0.7860)
Rb (0.5000, 0.0000, 0.5000)
S (0.5583, 0.2633, 0.0147)
S (0.0262, 0.5690, 0.8414)

[6]
Density functional theory data (PBE) for a geometry-optimized Rb4Zr3CuS8 structure.

* ρ: 3.98 g cm⁻³
* D(E_F): 4.98 states/eV/cell
* SG: C2/m (12)
* formation energy without anion corrections: -1.264 eV/atom

a = 7.6936 Å, b = 8.8194 Å, c = 7.7005 Å
α = 115.93°, β = 119.97°, γ = 90.00°
Positions (direct):
Rb (0.0000, 0.0000, 0.0000)
S (0.7695, 0.3168, 0.5390)
S (0.2774, 0.3172, 0.0472)
S (0.2305, 0.6832, 0.4610)
S (0.2698, 0.3093, 0.5396)
Rb (0.5000, 0.0000, 0.0000)
Rb (0.5000, 0.0000, 0.5000)
Zr (0.0000, 0.5000, 0.5000)
Zr (0.5000, 0.5000, 0.5000)
S (0.2302, 0.6828, 0.9528)
Cu (0.0000, 0.5000, 0.0000)
Rb (0.0000, 0.0000, 0.5000)
S (0.7698, 0.3172, 0.0472)
Zr (0.5000, 0.5000, 0.0000)
S (0.7226, 0.6828, 0.9528)
S (0.7302, 0.6907, 0.4604)

[7]
Density functional theory data (PBE) for a geometry-optimized Rb2Zr3CuS8 structure.

* ρ: 3.17 g cm⁻³
* D(E_F): 5.80 states/eV/cell
* SG: R3m (160)
* formation energy without anion corrections: -1.263 eV/atom

a = 7.4566 Å, b = 7.4566 Å, c = 9.3569 Å
α = 66.52°, β = 66.52°, γ = 60.00°
Positions (direct):
Rb (0.4895, 0.4895, 0.5316)
Zr (0.4944, 0.9997, 0.0115)
Zr (0.9997, 0.4944, 0.0115)
Cu (0.9382, 0.9382, 0.1854)
S (0.7076, 0.2213, 0.8498)
S (0.7579, 0.7579, 0.2053)
S (0.2213, 0.2213, 0.8498)
S (0.7579, 0.2789, 0.2053)
Rb (0.1425, 0.1425, 0.5726)
S (0.2213, 0.7076, 0.8498)
Zr (0.4944, 0.4944, 0.0115)
S (0.7197, 0.7197, 0.8409)
S (0.2695, 0.2695, 0.1916)
S (0.2789, 0.7579, 0.2053)

[8]
Density functional theory data (PBE) for a geometry-optimized RbCu2Sb structure.

* ρ: 5.01 g cm⁻³
* D(E_F): 0.47 states/eV/cell
* SG: R-3m (166)
* formation energy without anion corrections: -0.091 eV/atom

a = 4.5317 Å, b = 4.5317 Å, c = 6.7588 Å
α = 70.41°, β = 70.41°, γ = 60.00°
Positions (direct):
Rb (0.0000, 0.0000, 0.0000)
Cu (0.1776, 0.1776, 0.4671)
Cu (0.8224, 0.8224, 0.5329)
Sb (0.5000, 0.5000, 0.5000)

[9]
Density functional theory data (PBE) for a geometry-optimized RbCuSb2 structure.

* ρ: 5.22 g cm⁻³
* D(E_F): 1.48 states/eV/cell
* SG: R-3m (166)
* formation energy without anion corrections: -0.064 eV/atom

a = 4.3202 Å, b = 4.3202 Å, c = 8.1143 Å
α = 74.56°, β = 74.56°, γ = 60.00°
Positions (direct):
Cu (0.0000, 0.0000, 0.0000)
Rb (0.5000, 0.5000, 0.5000)
Sb (0.2878, 0.2878, 0.1365)
Sb (0.7122, 0.7122, 0.8635)

[10]
Density functional theory data (PBE) for a geometry-optimized RbCu3Sb2 structure.

* ρ: 5.61 g cm⁻³
* D(E_F): 3.99 states/eV/cell
* SG: C2/m (12)
* formation energy without anion corrections: -0.083 eV/atom

a = 4.2336 Å, b = 10.2816 Å, c = 10.1437 Å
α = 45.60°, β = 77.96°, γ = 78.12°
Positions (direct):
Sb (0.1147, 0.4840, 0.2866)
Rb (0.7741, 0.2333, 0.2186)
Cu (0.4349, 0.6284, 0.5017)
Cu (0.5560, 0.6977, 0.1903)
Rb (0.2259, 0.7667, 0.7814)
Sb (0.5707, 0.0242, 0.8344)
Cu (0.0324, 0.2479, 0.6873)
Sb (0.4293, 0.9758, 0.1656)
Sb (0.8853, 0.5160, 0.7134)
Cu (0.9676, 0.7521, 0.3127)
Cu (0.4440, 0.3023, 0.8097)
Cu (0.5651, 0.3716, 0.4983)

[11]
Density functional theory data (PBE) for a geometry-optimized RbCu2Sb structure.

* ρ: 4.37 g cm⁻³
* D(E_F): 0.00 states/eV/cell
* SG: I4_1/amd (141)
* formation energy without anion corrections: -0.011 eV/atom

a = 5.5499 Å, b = 5.5499 Å, c = 9.1403 Å
α = 72.33°, β = 72.33°, γ = 90.00°
Positions (direct):
Cu (0.8750, 0.1250, 0.7500)
Cu (0.3750, 0.1250, 0.7500)
Rb (0.5000, 0.5000, 0.0000)
Sb (0.0000, 0.0000, 0.0000)
Sb (0.7500, 0.2500, 0.5000)
Cu (0.8750, 0.1250, 0.2500)
Rb (0.2500, 0.7500, 0.5000)
Cu (0.8750, 0.6250, 0.2500)

[12]
Density functional theory data (PBE) for a geometry-optimized RbCuSb2 structure.

* ρ: 5.20 g cm⁻³
* D(E_F): 1.85 states/eV/cell
* SG: R3m (160)
* formation energy without anion corrections: -0.061 eV/atom

a = 4.2638 Å, b = 4.2638 Å, c = 8.3284 Å
α = 75.17°, β = 75.17°, γ = 60.00°
Positions (direct):
Sb (0.2878, 0.2878, 0.1366)
Cu (0.6681, 0.6681, 0.9958)
Rb (0.4975, 0.4975, 0.5075)
Sb (0.0466, 0.0466, 0.8601)

[13]
Density functional theory data (PBE) for a geometry-optimized Rb2Cu3Sb5 structure.

* ρ: 6.11 g cm⁻³
* D(E_F): 5.12 states/eV/cell
* SG: Ibam (72)
* formation energy without anion corrections: -0.101 eV/atom

a = 6.8766 Å, b = 9.5054 Å, c = 9.5054 Å
α = 71.57°, β = 68.79°, γ = 68.79°
Positions (direct):
Sb (0.6063, 0.7558, 0.0317)
Sb (0.1063, 0.0317, 0.7558)
Cu (0.1233, 0.2584, 0.4950)
Rb (0.1306, 0.6227, 0.1161)
Cu (0.7500, 0.0000, 0.0000)
Cu (0.6233, 0.4950, 0.2584)
Sb (0.0050, 0.7450, 0.7450)
Sb (0.9950, 0.2550, 0.2550)
Cu (0.3767, 0.5050, 0.7416)
Sb (0.2500, 0.5000, 0.5000)
Sb (0.7500, 0.5000, 0.5000)
Sb (0.5050, 0.7450, 0.7450)
Cu (0.8767, 0.7416, 0.5050)
Rb (0.8694, 0.3773, 0.8839)
Sb (0.8937, 0.9683, 0.2442)
Sb (0.4950, 0.2550, 0.2550)
Sb (0.3937, 0.2442, 0.9683)
Cu (0.2500, 0.0000, 0.0000)
Rb (0.6306, 0.1161, 0.6227)
Rb (0.3694, 0.8839, 0.3773)

[14]
Density functional theory data (PBE) for a geometry-optimized RbCu2Sb2 structure.

* ρ: 6.14 g cm⁻³
* D(E_F): 3.68 states/eV/cell
* SG: P4/mbm (127)
* formation energy without anion corrections: 0.100 eV/atom

a = 8.7374 Å, b = 8.7374 Å, c = 3.2331 Å
α = 90.00°, β = 90.00°, γ = 90.00°
Positions (direct):
Sb (0.6491, 0.8509, 0.5000)
Rb (0.5000, 0.5000, 0.0000)
Cu (0.8963, 0.6037, 0.0000)
Sb (0.8509, 0.3509, 0.5000)
Cu (0.3963, 0.8963, 0.0000)
Sb (0.3509, 0.1491, 0.5000)
Rb (0.0000, 0.0000, 0.0000)
Cu (0.1037, 0.3963, 0.0000)
Cu (0.6037, 0.1037, 0.0000)
Sb (0.1491, 0.6491, 0.5000)

[15]
Density functional theory data (PBE) for a geometry-optimized Rb2CuSb structure.

* ρ: 2.76 g cm⁻³
* D(E_F): 0.09 states/eV/cell
* SG: I-42d (122)
* formation energy without anion corrections: -0.136 eV/atom

a = 13.2875 Å, b = 13.2875 Å, c = 9.7034 Å
α = 46.79°, β = 46.79°, γ = 90.00°
Positions (direct):
Rb (0.8750, 0.6523, 0.7500)
Rb (0.3750, 0.5977, 0.7500)
Sb (0.0000, 0.0000, 0.0000)
Rb (0.4023, 0.1250, 0.2500)
Sb (0.7500, 0.2500, 0.5000)
Cu (0.2500, 0.7500, 0.5000)
Rb (0.3477, 0.6250, 0.2500)
Cu (0.5000, 0.5000, 0.0000)

[16]
Density functional theory data (PBE) for a geometry-optimized RbCuSb2 structure.

* ρ: 4.33 g cm⁻³
* D(E_F): 4.10 states/eV/cell
* SG: I4_1/amd (141)
* formation energy without anion corrections: -0.016 eV/atom

a = 5.9054 Å, b = 5.9054 Å, c = 9.5930 Å
α = 72.07°, β = 72.07°, γ = 90.00°
Positions (direct):
Rb (0.7500, 0.2500, 0.5000)
Sb (0.3750, 0.6243, 0.7500)
Cu (0.2500, 0.7500, 0.5000)
Sb (0.3743, 0.6250, 0.2500)
Cu (0.5000, 0.5000, 0.0000)
Sb (0.8750, 0.6257, 0.7500)
Rb (0.0000, 0.0000, 0.0000)
Sb (0.3757, 0.1250, 0.2500)

[17]
Density functional theory data (PBE) for a geometry-optimized RbCuSb2 structure.

* ρ: 6.02 g cm⁻³
* D(E_F): 2.51 states/eV/cell
* SG: Fm-3m (225)
* formation energy without anion corrections: 0.434 eV/atom

a = 5.3492 Å, b = 5.3492 Å, c = 5.3492 Å
α = 60.00°, β = 60.00°, γ = 60.00°
Positions (direct):
Sb (0.2500, 0.2500, 0.2500)
Cu (0.0000, 0.0000, 0.0000)
Sb (0.7500, 0.7500, 0.7500)
Rb (0.5000, 0.5000, 0.5000)

[18]
Density functional theory data (PBE) for a geometry-optimized RbCu9Sb4 structure.

* ρ: 7.62 g cm⁻³
* D(E_F): 11.11 states/eV/cell
* SG: I4/mcm (140)
* formation energy without anion corrections: 0.017 eV/atom

a = 8.7351 Å, b = 8.7351 Å, c = 8.9937 Å
α = 119.05°, β = 119.05°, γ = 90.00°
Positions (direct):
Cu (0.0665, 0.7797, 0.3462)
Cu (0.2956, 0.4506, 0.0000)
Cu (0.4506, 0.7044, 0.0000)
Cu (0.7203, 0.4335, 0.6538)
Cu (0.5665, 0.0665, 0.3462)
Cu (0.0000, 0.5000, 0.0000)
Rb (0.2500, 0.2500, 0.5000)
Cu (0.9506, 0.7956, 0.0000)
Sb (0.3118, 0.8118, 0.2548)
Cu (0.7956, 0.0494, 0.0000)
Cu (0.7797, 0.2797, 0.3462)
Sb (0.1882, 0.0570, 0.7452)
Cu (0.9335, 0.2203, 0.6538)
Sb (0.4430, 0.3118, 0.2548)
Sb (0.8118, 0.9430, 0.2548)
Cu (0.2203, 0.7203, 0.6538)
Rb (0.7500, 0.7500, 0.5000)
Cu (0.2044, 0.9506, 0.0000)
Sb (0.5570, 0.6882, 0.7452)
Cu (0.2797, 0.5665, 0.3462)
Cu (0.5000, 0.0000, 0.0000)
Cu (0.5494, 0.2956, 0.0000)
Sb (0.0570, 0.5570, 0.7452)
Cu (0.7044, 0.5494, 0.0000)
Sb (0.6882, 0.1882, 0.7452)
Sb (0.9430, 0.4430, 0.2548)
Cu (0.0494, 0.2044, 0.0000)
Cu (0.4335, 0.9335, 0.6538)

[19]
Density functional theory data (PBE) for a geometry-optimized RbCu2Sb2 structure.

* ρ: 5.92 g cm⁻³
* D(E_F): 3.80 states/eV/cell
* SG: P4/mbm (127)
* formation energy without anion corrections: 0.157 eV/atom

a = 8.9800 Å, b = 8.9800 Å, c = 3.1750 Å
α = 90.00°, β = 90.00°, γ = 90.00°
Positions (direct):
Cu (0.8942, 0.3942, 0.5000)
Cu (0.3942, 0.1058, 0.5000)
Sb (0.6440, 0.1440, 0.0000)
Cu (0.1058, 0.6058, 0.5000)
Sb (0.3560, 0.8560, 0.0000)
Rb (0.0000, 0.0000, 0.0000)
Sb (0.8560, 0.6440, 0.0000)
Cu (0.6058, 0.8942, 0.5000)
Rb (0.5000, 0.5000, 0.0000)
Sb (0.1440, 0.3560, 0.0000)

[20]
Density functional theory data (PBE) for a geometry-optimized RbScCu2Sb2 structure.

* ρ: 5.38 g cm⁻³
* D(E_F): 1.53 states/eV/cell
* SG: P-3m1 (164)
* formation energy without anion corrections: -0.492 eV/atom

a = 4.4346 Å, b = 4.4346 Å, c = 9.0827 Å
α = 90.00°, β = 90.00°, γ = 120.00°
Positions (direct):
Sb (0.6667, 0.3333, 0.2998)
Cu (0.3333, 0.6667, 0.3678)
Cu (0.6667, 0.3333, 0.6322)
Sc (0.0000, 0.0000, 0.5000)
Sb (0.3333, 0.6667, 0.7002)
Rb (0.0000, 0.0000, 0.0000)

[21]
Density functional theory data (PBE) for a geometry-optimized Rb2CuSbSe4 structure.

* ρ: 4.54 g cm⁻³
* SG: I-42m (121)
* formation energy without anion corrections: -0.565 eV/atom

a = 6.8927 Å, b = 6.8932 Å, c = 6.8932 Å
α = 75.52°, β = 60.00°, γ = 60.00°
Positions (direct):
Se (0.0930, 0.3145, 0.0000)
Cu (0.5000, 0.0000, 0.0000)
Rb (0.5000, 0.5000, 0.5000)
Se (0.9070, 0.0000, 0.6855)
Se (0.5925, 0.0000, 0.3145)
Rb (0.0000, 0.5000, 0.5000)
Se (0.4075, 0.6855, 0.0000)
Sb (0.0000, 0.0000, 0.0000)

[22]
Density functional theory data (PBE) for a geometry-optimized RbCuSbSe3 structure.

* ρ: 4.73 g cm⁻³
* D(E_F): 9.11 states/eV/cell
* SG: P2_1/m (11)
* formation energy without anion corrections: -0.502 eV/atom

a = 4.0750 Å, b = 9.6534 Å, c = 9.7005 Å
α = 111.06°, β = 90.00°, γ = 90.00°
Positions (direct):
Sb (0.2500, 0.6683, 0.1452)
Se (0.7500, 0.4653, 0.1631)
Se (0.7500, 0.8734, 0.1484)
Se (0.7500, 0.1989, 0.5367)
Se (0.2500, 0.5347, 0.8369)
Rb (0.7500, 0.7978, 0.7587)
Cu (0.2500, 0.0708, 0.5795)
Sb (0.7500, 0.3317, 0.8548)
Se (0.2500, 0.8011, 0.4633)
Cu (0.7500, 0.9292, 0.4205)
Rb (0.2500, 0.2022, 0.2413)
Se (0.2500, 0.1266, 0.8516)